Record 1
DyErBeHg | PBE-GGA | relaxed

The structure in POSCAR format:
```
DyErBeHg
1.0
-2.205 -4.483 -0.864
2.448 -3.559 -2.654
1.722 -4.163 2.327
Er Be Hg Dy
1 1 1 1
direct
0.750 0.750 0.750 Er
0.000 0.000 0.000 Be
0.500 0.500 0.500 Hg
0.250 0.250 0.250 Dy
```

Calculated values
Electronic total energy, eV/atom: -3.42
Magnetization, Bohr magnetons per cell: 0.0
Energy relative to the elements, eV per atom: -0.13
SG: F-43m, No. 216

---

Record 2
Dy8OsAu2 | PBE-GGA | relaxed

The structure in POSCAR format:
```
Dy8OsAu2
1.0
5.125 0.000 0.000
0.000 6.840 0.152
-2.562 -2.755 8.247
Dy Os Au
8 1 2
direct
0.590 0.433 0.180 Dy
0.339 0.033 0.678 Dy
0.029 0.796 0.057 Dy
0.800 0.691 0.600 Dy
0.200 0.309 0.400 Dy
0.971 0.204 0.943 Dy
0.410 0.567 0.820 Dy
0.661 0.967 0.322 Dy
0.500 0.000 0.000 Os
0.815 0.286 0.630 Au
0.185 0.714 0.370 Au
```

Calculated values
Polymorph energy (0 for the lowest one), eV per atom: 0.0000
Electronic total energy, eV/atom: -5.37
Magnetization, Bohr magnetons per cell: 0.0
Energy relative to the elements, eV per atom: -0.40
SG: C2/m, No. 12

---

Calculated N(E_F) in order - 3.78, 9.63 states/eV per cell